Record 1
Entry from Alexandria: a geometry-optimized NaLaOs2Pd structure (PBE).

Properties
N(E_F)	1.3632	states/eV per atom
ΔE_f	1.838	eV per atom
symmetry	P4/mmm

a b c (Å): 4.986 5.260 4.986
angles (deg): 90.00 90.00 90.00
Last column: magnetic moment on the atom in μB.
Atoms (fractional coordinates):
Na  0.500  0.500  0.500  -0.01
Os  0.000  0.000  0.500  0.89
Os  0.500  0.000  0.000  0.90
Pd  0.000  0.500  0.000  0.05
La  0.000  0.000  0.000  -0.03

Record 2
Entry from Alexandria: a geometry-optimized NaLaPmOs structure (PBE).

Properties
N(E_F)	0.8056	states/eV per atom
ΔE_f	0.127	eV per atom
symmetry	F-43m

a b c (Å): 5.186 5.186 5.186
angles (deg): 60.00 60.00 60.00
Atoms (fractional coordinates):
Na  0.000  0.000  0.000
La  0.750  0.750  0.750
Os  0.500  0.500  0.500
Pm  0.250  0.250  0.250

Record 3
Entry from Alexandria: a geometry-optimized Na2LaOsRu structure (PBE).

Properties
N(E_F)	0.8081	states/eV per atom
ΔE_f	0.833	eV per atom
symmetry	P4/mmm

a b c (Å): 5.043 4.728 5.043
angles (deg): 90.00 90.00 90.00
Atoms (fractional coordinates):
Na  0.000  0.000  0.500
Na  0.500  0.000  0.000
Ru  0.000  0.000  0.000
Os  0.000  0.500  0.000
La  0.500  0.500  0.500

Record 4
Entry from Alexandria: a geometry-optimized NaLa2ScOs structure (PBE).

Properties
N(E_F)	0.9126	states/eV per atom
ΔE_f	-0.016	eV per atom
symmetry	P4/mmm

a b c (Å): 5.678 5.678 5.203
angles (deg): 90.00 90.00 90.00
Atoms (fractional coordinates):
Sc  0.000  0.000  0.500
Na  0.500  0.500  0.500
Os  0.000  0.000  0.000
La  0.000  0.500  0.000
La  0.500  0.000  0.000

Record 5
Entry from Alexandria: a geometry-optimized NaLaSc2Os structure (PBE).

Properties
N(E_F)	2.0353	states/eV per atom
ΔE_f	1.922	eV per atom
symmetry	P4/mmm

a b c (Å): 5.079 5.079 4.977
angles (deg): 90.00 90.00 90.00
Atoms (fractional coordinates):
Sc  0.000  0.500  0.000
Sc  0.500  0.000  0.000
Na  0.000  0.000  0.500
Os  0.500  0.500  0.500
La  0.000  0.000  0.000

Record 6
Entry from Alexandria: a geometry-optimized NaSrLa2Os structure (PBE).

Properties
E above lowest polymorph	135	meV per atom
N(E_F)	1.4109	states/eV per atom
ΔE_f	0.165	eV per atom
symmetry	P4/mmm

a b c (Å): 5.488 6.216 5.488
angles (deg): 90.00 90.00 90.00
Atoms (fractional coordinates):
Na  0.000  0.500  0.000
Sr  0.500  0.500  0.500
Os  0.000  0.000  0.000
La  0.000  0.000  0.500
La  0.500  0.000  0.000

- The highest N(E_F) belongs to which entry?
  NaLaSc2Os